ZrTa2Mn | GGA-PBE | relaxed

- ΔE to the lowest computed polymorph (eV per atom) = 0.2115
- size of the total moment (μB per formula unit) = 1.54
- calculated volume (Å³ per atom) = 17.71
- formation energy from the elements (eV/atom) = 0.20

a = 5.566 Å, b = 9.321 Å, c = 2.905 Å
α = 90.00°, β = 109.96°, γ = 90.00°
Fractional positions:
Zr: 0.000 0.000 0.000
Zr: 0.500 0.500 0.000
Ta: 0.250 0.250 0.500
Ta: 0.250 0.750 0.500
Ta: 0.750 0.250 0.500
Ta: 0.750 0.750 0.500
Mn: 0.000 0.500 0.000
Mn: 0.500 0.000 0.000